Density functional theory data (GGA+U) for NdMnPO after structural relaxation.

Cell lengths 4.0989, 4.0989, 8.9298 Å; angles 90.00, 90.00, 90.00 degrees
Last column: nearest neighbours and their distance in Å.
Space group P4/nmm (No. 129, origin choice 2)
Unique sites:
Nd  0.2500  0.2500  0.1297 x2  4 O 2.35
Mn  0.2500  0.7500  0.5000 x2  4 P 2.56
P  0.2500  0.2500  0.6727 x2  4 Mn 2.56
O  0.2500  0.7500  0.0000 x2  4 Nd 2.35

Summary:
VASP energy (eV/cell): -58.84
V (Å³/atom): 18.8